Below is crystalline CsBa2HfP at its relaxed geometry, with properties calculated at the GGA-PBE level.

Properties
ΔE_f, meV/atom: 10

The structure in CIF format:
```
data_CsBa2HfP
_cell_length_a 6.557
_cell_length_b 6.557
_cell_length_c 5.068
_cell_angle_alpha 90.00
_cell_angle_beta 90.00
_cell_angle_gamma 90.00
_symmetry_space_group_name_H-M 'P 4/m m m'
_symmetry_Int_Tables_number 123
_symmetry_space_group_name_Hall '-P 4 2'
loop_
_atom_site_label
_atom_site_fract_x
_atom_site_fract_y
_atom_site_fract_z
Cs1 0.000 0.000 0.000
Ba1 0.000 0.500 0.500
Hf1 0.500 0.500 0.000
P1 0.500 0.500 0.500
```